# 1
VASP calculation (PBE) on crystalline SmHo2MnN4 at its relaxed geometry.

Properties
* E: -66.0 eV/f.u.

Unit cell a=3.3780 b=11.3950 c=11.4468 alpha=90.00 beta=90.00 gamma=90.00
Space group Cmcm (No. 63)
Symmetry-distinct sites (fractional):
Sm (0.0000, 0.1116, 0.2500)
Ho (0.0000, 0.3682, 0.0436)
Mn (0.0000, 0.1556, 0.7500)
N (0.0000, 0.0000, 0.0000)
N (0.0000, 0.2661, 0.6307)
N (0.0000, 0.4219, 0.2500)


# 2
VASP calculation (PBE) on crystalline Tl2HgAu at its relaxed geometry.

Properties
* relative energy among the computed polymorphs: 0.0 meV per atom
* formation energy: -0.56 kcal/mol of atoms

Unit cell a=3.5738 b=3.5738 c=8.4198 alpha=90.00 beta=90.00 gamma=90.00
Space group P4/mmm (No. 123)
Symmetry-distinct sites (fractional):
Tl (0.0000, 0.0000, 0.2202)
Hg (0.5000, 0.5000, 0.5000)
Au (0.5000, 0.5000, 0.0000)


# 3
VASP calculation (PBE) on crystalline Ca2CoH4 at its relaxed geometry.

Properties
* relative energy among the computed polymorphs: 3.7 meV per atom

Unit cell a=3.4515 b=3.4515 c=14.0870 alpha=90.00 beta=90.00 gamma=90.00
Space group I4/mmm (No. 139)
Symmetry-distinct sites (fractional):
Ca (0.0000, 0.0000, 0.1258)
Co (0.0000, 0.0000, 0.5000)
H (0.0000, 0.0000, 0.3845)
H (0.0000, 0.5000, 0.0000)


# 4
VASP calculation (PBE) on crystalline Mg5Sb at its relaxed geometry.

Properties
* relative energy among the computed polymorphs: 56.8 meV per atom

Unit cell a=5.4567 b=3.1876 c=16.2893 alpha=90.00 beta=90.00 gamma=90.00
Space group Amm2 (No. 38)
Symmetry-distinct sites (fractional):
Mg (0.0000, 0.0000, 0.0000)
Mg (0.0000, 0.0000, 0.3333)
Mg (0.0000, 0.0000, 0.6661)
Mg (0.5000, 0.0000, 0.2199)
Mg (0.5000, 0.0000, 0.5591)
Sb (0.5000, 0.0000, 0.8911)